(1)
Below is a geometry-optimized NaInSe2F structure, with properties calculated at the PBE level.

a = 5.1110 Å, b = 4.1630 Å, c = 5.1110 Å
α = 90.00°, β = 90.00°, γ = 90.00°
Element x y z (fractional)
In  0.5000  0.5000  0.5000
Se  0.0000  0.0000  0.5000
Na  0.0000  0.5000  0.0000
Se  0.5000  0.0000  0.0000
F  0.0000  0.0000  0.0000

Values from the calculation:
For the magnetic moment, the calculation gives 0.0 Bohr magnetons per cell.

(2)
Below is a geometry-optimized NaInSn2F8 structure, with properties calculated at the PBE level.

a = 4.1740 Å, b = 5.8322 Å, c = 7.8289 Å
α = 93.23°, β = 89.68°, γ = 93.73°
Element x y z (fractional)
F  0.5496  0.7918  0.9764
Sn  0.5113  0.5154  0.7446
F  0.5430  0.7445  0.5332
F  0.0332  0.8144  0.2192
F  0.4504  0.2082  0.0236
F  0.4570  0.2555  0.4668
F  0.9582  0.2797  0.2138
F  0.9668  0.1856  0.7808
Sn  0.4887  0.4846  0.2554
In  0.0000  0.0000  0.0000
F  0.0418  0.7203  0.7862
Na  0.0000  0.0000  0.5000

Values from the calculation:
For the magnetic moment, the calculation gives 0.0 Bohr magnetons per cell.

(3)
Below is a geometry-optimized Na2InSnF structure, with properties calculated at the PBE level.

a = 6.1511 Å, b = 4.4104 Å, c = 6.1511 Å
α = 90.00°, β = 90.00°, γ = 90.00°
Element x y z (fractional)
Na  0.0000  0.0000  0.5000
Sn  0.5000  0.5000  0.5000
In  0.0000  0.0000  0.0000
Na  0.5000  0.0000  0.0000
F  0.0000  0.5000  0.0000

Values from the calculation:
For the energy above the most stable polymorph in this dataset, the calculation gives 677 meV/atom. For the magnetic moment, the calculation gives 0.0 Bohr magnetons per cell.

(4)
Below is a geometry-optimized NaInSnF6 structure, with properties calculated at the PBE level.

a = 5.2664 Å, b = 5.2664 Å, c = 10.7948 Å
α = 90.00°, β = 90.00°, γ = 90.00°
Element x y z (fractional)
Na  0.0000  0.0000  0.6663
F  0.1830  0.8170  0.4827
Sn  0.5000  0.5000  0.4960
F  0.6900  0.6900  0.6868
F  0.8100  0.1900  0.1868
F  0.8170  0.1830  0.4827
In  0.5000  0.5000  0.8318
F  0.3170  0.3170  0.9827
F  0.3100  0.3100  0.6868
F  0.7873  0.2127  0.8335
F  0.1900  0.8100  0.1868
F  0.7127  0.7127  0.3335
Na  0.5000  0.5000  0.1663
Sn  0.0000  0.0000  0.9960
F  0.6830  0.6830  0.9827
In  0.0000  0.0000  0.3318
F  0.2873  0.2873  0.3335
F  0.2127  0.7873  0.8335

Values from the calculation:
For the magnetic moment, the calculation gives 0.0 Bohr magnetons per cell.

(5)
Below is a geometry-optimized Na2InSnF8 structure, with properties calculated at the PBE level.

a = 3.7825 Å, b = 5.5321 Å, c = 7.5650 Å
α = 90.00°, β = 90.00°, γ = 89.99°
Element x y z (fractional)
F  0.9993  0.2281  0.7555
Na  0.5000  0.5000  0.7578
F  0.0008  0.7719  0.7555
Sn  0.0000  0.0000  0.5000
F  0.5006  0.7746  0.5000
F  0.9992  0.2281  0.2445
Na  0.5000  0.5000  0.2422
F  0.5008  0.7748  0.0000
F  0.4992  0.2252  0.0000
In  0.0000  0.0000  0.0000
F  0.0007  0.7719  0.2445
F  0.4994  0.2254  0.5000

Values from the calculation:
For the magnetic moment, the calculation gives 0.0 Bohr magnetons per cell.

(6)
Below is a geometry-optimized Na2InSnF structure, with properties calculated at the PBE level.

a = 4.4844 Å, b = 4.4844 Å, c = 5.6349 Å
α = 90.00°, β = 90.00°, γ = 90.00°
Element x y z (fractional)
F  0.0000  0.0000  0.0000
In  0.0000  0.0000  0.5000
Sn  0.5000  0.5000  0.5000
Na  0.5000  0.0000  0.0000
Na  0.0000  0.5000  0.0000

Values from the calculation:
For the energy above the most stable polymorph in this dataset, the calculation gives 0 meV/atom. For the magnetic moment, the calculation gives 0.0 Bohr magnetons per cell.

(7)
Below is a geometry-optimized NaSr2InF structure, with properties calculated at the PBE level.

a = 5.4017 Å, b = 5.4017 Å, c = 4.7805 Å
α = 90.00°, β = 90.00°, γ = 90.00°
Element x y z (fractional)
Sr  0.5000  0.0000  0.0000
F  0.0000  0.0000  0.0000
In  0.5000  0.5000  0.5000
Na  0.0000  0.0000  0.5000
Sr  0.0000  0.5000  0.0000

Values from the calculation:
For the magnetic moment, the calculation gives 0.0 Bohr magnetons per cell.

(8)
Below is a geometry-optimized NaSr2InF8 structure, with properties calculated at the PBE level.

a = 4.1672 Å, b = 5.6349 Å, c = 7.9587 Å
α = 90.00°, β = 90.00°, γ = 94.98°
Element x y z (fractional)
Sr  0.5000  0.5000  0.2551
F  0.5448  0.7485  0.5000
F  0.9596  0.2385  0.7896
F  0.9596  0.2384  0.2104
F  0.0404  0.7616  0.7896
Sr  0.5000  0.5000  0.7449
F  0.5516  0.7769  0.0000
Na  0.0000  0.0000  0.5000
F  0.4552  0.2515  0.5000
In  0.0000  0.0000  0.0000
F  0.0404  0.7615  0.2104
F  0.4484  0.2231  0.0000

Values from the calculation:
For the magnetic moment, the calculation gives 0.0 Bohr magnetons per cell.

ΔE_f (raw), respectively: -0.567, -2.409, -0.340, -2.513, -2.523, -1.017, -1.269, -3.248 eV per atom.
N(E_F), respectively: 0.7533, 0.0000, 0.6213, 0.0000, 0.0139, 0.3880, 0.5844, 0.0000 states/eV per atom.